[1]
Below is crystalline Sm4P2SeS at its relaxed geometry, with properties calculated at the PBE level.

Total magnetic moment: 0.00 μB per formula unit
N(E_F): 0.320 states/eV/atom
Theoretical density: 6.58 g/cm3
E: -6.478 eV/atom

a = 5.795 Å, b = 5.795 Å, c = 11.632 Å
α = 90.00°, β = 90.00°, γ = 90.00°
Space group I-4m2 (No. 119)
Inequivalent atoms, fractional coordinates:
Sm  0.000  0.000  0.241
Sm  0.000  0.500  0.505
P  0.000  0.000  0.000
P  0.000  0.500  0.750
Se  0.000  0.000  0.500
S  0.000  0.500  0.250

[2]
Below is crystalline YAl2Ag at its relaxed geometry, with properties calculated at the PBE level.

Total magnetic moment: 0.00 μB per formula unit
N(E_F): 0.670 states/eV/atom
Theoretical density: 4.98 g/cm3
E: -4.189 eV/atom

a = 3.1964 Å, b = 3.1964 Å, c = 28.3204 Å
α = 90.00°, β = 90.00°, γ = 120.00°
Space group R-3m (No. 166, hexagonal axes)
Inequivalent atoms, fractional coordinates:
Y  0.0000  0.0000  0.0000
Al  0.0000  0.0000  0.2416
Ag  0.0000  0.0000  0.5000

[3]
Below is crystalline SrPmAsSe at its relaxed geometry, with properties calculated at the PBE level.

Total magnetic moment: 0.00 μB per formula unit
Theoretical density: 5.48 g/cm3
E: -5.350 eV/atom

a = 4.3359 Å, b = 4.3359 Å, c = 21.5753 Å
α = 90.00°, β = 90.00°, γ = 120.00°
Space group R3m (No. 160, hexagonal axes)
Inequivalent atoms, fractional coordinates:
Sr  0.0000  0.0000  0.0000
Pm  0.0000  0.0000  0.4932
As  0.0000  0.0000  0.7546
Se  0.0000  0.0000  0.2433

[4]
Below is crystalline CdGa2Hg at its relaxed geometry, with properties calculated at the PBE level.

Total magnetic moment: 0.00 μB per formula unit
Energy above the most stable polymorph in this dataset: 36 meV per atom
N(E_F): 0.458 states/eV/atom
Theoretical density: 8.57 g/cm3
E: -1.732 eV/atom

a = 3.318 Å, b = 3.318 Å, c = 7.967 Å
α = 90.00°, β = 90.00°, γ = 90.00°
Space group P4/mmm (No. 123)
Inequivalent atoms, fractional coordinates:
Cd  0.000  0.000  0.000
Ga  0.500  0.500  0.248
Hg  0.000  0.000  0.500